Record 1
## TaTc2Ru (PBE-GGA)

Data for an optimized crystal structure of TaTc2Ru.

Cell: 4.9301 4.9301 4.9301 Å, 133.82 133.82 67.36°
Last column: nearest neighbours and their distance in Å.
Positions (direct):
1 Ru 0.2500 0.7500 0.5000  4 Ta 2.73, 8 Tc 2.82
2 Ta 0.7500 0.2500 0.5000  4 Ru 2.73, 8 Tc 2.82
3 Tc 0.0000 0.0000 0.0000  4 Tc 2.73, 4 Ru 2.82, 4 Ta 2.82
4 Tc 0.5000 0.5000 0.0000  4 Tc 2.73, 4 Ta 2.82, 4 Ru 2.82

## Properties
- ΔE to the lowest computed polymorph (eV per atom) = 0.045
- uncorrected energy (eV per atom) = -10.475
- density of states at the Fermi level (states/eV/f.u.) = 5.6

---

Record 2
## Np2Se2O (PBE-GGA)

Data for an optimized crystal structure of Np2Se2O.

Cell: 2.9960 2.9960 14.1614 Å, 90.00 90.00 90.00°
Last column: nearest neighbours and their distance in Å.
Positions (direct):
1 Np 0.5000 0.5000 0.1447  1 O 2.05
2 Np 0.5000 0.5000 0.8553  1 O 2.05
3 Se 0.5000 0.5000 0.6544  1 Np 2.85, 4 Se 3.00
4 Se 0.5000 0.5000 0.3456  1 Np 2.85, 4 Se 3.00
5 O 0.5000 0.5000 0.0000  2 Np 2.05

## Properties
- E_form (uncorrected) (eV/atom) = -0.36
- ΔE to the lowest computed polymorph (eV per atom) = 1.390
- uncorrected energy (eV per atom) = -7.924
- density of states at the Fermi level (states/eV/f.u.) = 8.2

---

Record 3
## YTe3Rh (PBE-GGA)

Data for an optimized crystal structure of YTe3Rh.

Cell: 5.2249 5.2249 5.2249 Å, 90.00 90.00 90.00°
Last column: nearest neighbours and their distance in Å.
Positions (direct):
1 Y 0.5000 0.5000 0.5000  12 Te 3.69
2 Te 0.0000 0.5000 0.0000  2 Rh 2.61
3 Te 0.0000 0.0000 0.5000  2 Rh 2.61
4 Te 0.5000 0.0000 0.0000  2 Rh 2.61
5 Rh 0.0000 0.0000 0.0000  6 Te 2.61

## Properties
- E_form (uncorrected) (eV/atom) = -0.27
- ΔE to the lowest computed polymorph (eV per atom) = 0.000
- uncorrected energy (eV per atom) = -4.914
- density of states at the Fermi level (states/eV/f.u.) = 3.9

---

Record 4
## PmPr4Tm3 (PBE-GGA)

Data for an optimized crystal structure of PmPr4Tm3.

Cell: 6.3262 7.3500 11.6563 Å, 90.00 90.00 90.00°
Last column: nearest neighbours and their distance in Å.
Positions (direct):
1 Pm 0.1501 0.3756 0.0000  6 Tm 3.58-3.65, 6 Pr 3.61-3.72
2 Pm 0.6501 0.6244 0.5000  6 Tm 3.58-3.65, 6 Pr 3.61-3.72
3 Pr 0.1373 0.8694 0.0000  4 Tm 3.58-3.71, 6 Pr 3.59-3.80, 2 Pm 3.63-3.72
4 Pr 0.6540 0.1319 0.0000  4 Tm 3.57-3.78, 6 Pr 3.59-3.80, 2 Pm 3.61-3.66
5 Pr 0.9829 0.1266 0.2560  5 Tm 3.56-3.73, 6 Pr 3.59-3.67, 1 Pm 3.66
6 Pr 0.4829 0.8734 0.2440  5 Tm 3.56-3.73, 6 Pr 3.59-3.67, 1 Pm 3.66
7 Pr 0.1540 0.8681 0.5000  4 Tm 3.57-3.78, 6 Pr 3.59-3.80, 2 Pm 3.61-3.66
8 Pr 0.6373 0.1306 0.5000  4 Tm 3.58-3.71, 6 Pr 3.59-3.80, 2 Pm 3.63-3.72
9 Pr 0.4829 0.8734 0.7560  5 Tm 3.56-3.73, 6 Pr 3.59-3.67, 1 Pm 3.66
10 Pr 0.9829 0.1266 0.7440  5 Tm 3.56-3.73, 6 Pr 3.59-3.67, 1 Pm 3.66
11 Tm 0.6467 0.6180 0.0000  4 Tm 3.56-3.60, 6 Pr 3.56-3.78, 2 Pm 3.61-3.65
12 Tm 0.9807 0.6188 0.2498  4 Tm 3.56-3.61, 2 Pm 3.58-3.59, 6 Pr 3.58-3.73
13 Tm 0.4807 0.3812 0.2502  4 Tm 3.56-3.61, 2 Pm 3.58-3.59, 6 Pr 3.58-3.73
14 Tm 0.1467 0.3820 0.5000  4 Tm 3.56-3.60, 6 Pr 3.56-3.78, 2 Pm 3.61-3.65
15 Tm 0.4807 0.3812 0.7498  4 Tm 3.56-3.61, 2 Pm 3.58-3.59, 6 Pr 3.58-3.73
16 Tm 0.9807 0.6188 0.7502  4 Tm 3.56-3.61, 2 Pm 3.58-3.59, 6 Pr 3.58-3.73

## Properties
- ΔE to the lowest computed polymorph (eV per atom) = 0.012
- uncorrected energy (eV per atom) = -4.629
- density of states at the Fermi level (states/eV/f.u.) = 14.1

---

Record 5
## Ac3Rh4Pb7 (PBE-GGA)

Data for an optimized crystal structure of Ac3Rh4Pb7.

Cell: 4.7168 9.0773 9.7266 Å, 67.11 75.97 74.94°
Last column: nearest neighbours and their distance in Å.
Positions (direct):
1 Ac 0.3156 0.1693 0.1995  4 Rh 3.40-3.47, 9 Pb 3.42-3.64
2 Ac 0.6844 0.8307 0.8005  4 Rh 3.40-3.47, 9 Pb 3.42-3.64
3 Ac 0.0000 0.5000 0.5000  2 Rh 3.12
4 Rh 0.6656 0.4524 0.2165  5 Pb 2.75-2.87
5 Rh 0.3344 0.5476 0.7835  5 Pb 2.75-2.87
6 Rh 0.8835 0.8791 0.3540  6 Pb 2.87-3.13, 1 Ac 3.12
7 Rh 0.1165 0.1209 0.6460  6 Pb 2.87-3.13, 1 Ac 3.12
8 Pb 0.3149 0.8318 0.5383  4 Rh 2.75-3.04
9 Pb 0.4958 0.2371 0.7712  3 Rh 2.76-2.97
10 Pb 0.8324 0.4051 0.9301  3 Rh 2.80-2.87
11 Pb 0.6851 0.1682 0.4617  4 Rh 2.75-3.04
12 Pb 0.1676 0.5949 0.0699  3 Rh 2.80-2.87
13 Pb 0.0000 0.0000 0.0000  2 Rh 3.13, 6 Pb 3.38
14 Pb 0.5042 0.7629 0.2288  3 Rh 2.76-2.97

## Properties
- uncorrected energy (eV per atom) = -5.239
- density of states at the Fermi level (states/eV/f.u.) = 9.1

---

Record 6
## Cu2Ag3Au8 (PBE-GGA)

Data for an optimized crystal structure of Cu2Ag3Au8.

Cell: 4.2729 7.3821 8.5546 Å, 115.23 90.00 90.00°
Last column: nearest neighbours and their distance in Å.
Positions (direct):
1 Cu 0.5001 0.7557 0.5241  8 Au 2.60-2.68
2 Cu 0.4999 0.2443 0.4759  8 Au 2.60-2.68
3 Ag 0.5000 0.0000 0.0000  8 Au 2.82-2.97, 4 Ag 3.06
4 Ag 0.0000 0.2949 0.9966  8 Au 2.91-3.02, 3 Ag 3.00-3.06
5 Ag 0.0000 0.7051 0.0034  8 Au 2.91-3.02, 3 Ag 3.00-3.06
6 Au 0.9999 0.3370 0.6730  2 Cu 2.62-2.63, 4 Au 2.78, 1 Ag 2.91
7 Au 0.0001 0.6630 0.3270  2 Cu 2.62-2.63, 4 Au 2.78, 1 Ag 2.91
8 Au 0.0000 0.8635 0.7329  2 Cu 2.68, 4 Au 2.92, 2 Ag 2.97
9 Au 0.0000 0.1365 0.2671  2 Cu 2.68, 4 Au 2.92, 2 Ag 2.97
10 Au 0.5001 0.8649 0.2645  2 Cu 2.61-2.67, 2 Au 2.78, 1 Ag 2.84
11 Au 0.5001 0.3995 0.2540  2 Cu 2.60-2.66, 2 Au 2.78, 1 Ag 2.82
12 Au 0.4999 0.6005 0.7460  2 Cu 2.60-2.66, 2 Au 2.78, 1 Ag 2.82
13 Au 0.4999 0.1351 0.7355  2 Cu 2.61-2.67, 2 Au 2.78, 1 Ag 2.84

## Properties
- uncorrected energy (eV per atom) = -3.257
- density of states at the Fermi level (states/eV/f.u.) = 2.0

---

Record 7
## Ir4Pt (PBE-GGA)

Data for an optimized crystal structure of Ir4Pt.

Cell: 6.1526 6.1526 4.7665 Å, 49.80 49.80 90.00°
Last column: nearest neighbours and their distance in Å.
Positions (direct):
1 Ir 0.8028 0.5977 0.0000  9 Ir 2.71-2.78, 3 Pt 2.76
2 Ir 0.5977 0.1972 0.0000  9 Ir 2.71-2.78, 3 Pt 2.76
3 Ir 0.1972 0.4023 0.0000  9 Ir 2.71-2.78, 3 Pt 2.76
4 Ir 0.4023 0.8028 0.0000  9 Ir 2.71-2.78, 3 Pt 2.76
5 Pt 0.0000 0.0000 0.0000  12 Ir 2.76

## Properties
- ΔE to the lowest computed polymorph (eV per atom) = 0.006
- uncorrected energy (eV per atom) = -8.254
- density of states at the Fermi level (states/eV/f.u.) = 5.5

---

Record 8
## CaPmPdO4 (PBE-GGA)

Data for an optimized crystal structure of CaPmPdO4.

Cell: 7.3712 6.4995 7.2043 Å, 123.66 90.00 124.55°
Last column: nearest neighbours and their distance in Å.
Positions (direct):
1 Ca 0.9383 0.8767 0.1883  4 O 2.24-2.51
2 Ca 0.0617 0.1233 0.8117  4 O 2.24-2.51
3 Pm 0.5000 0.0000 0.5000  6 O 2.34-2.38
4 Pm 0.5000 0.0000 0.0000  6 O 2.34-2.38
5 Pd 0.5000 0.5000 0.5000  2 O 2.06
6 Pd 0.0000 0.5000 0.5000  2 O 2.06
7 O 0.7942 0.5884 0.7302  2 Pd 2.31, 1 Pm 2.38, 2 Ca 2.51-2.53
8 O 0.2923 0.9884 0.2442  1 Pd 2.06, 1 Ca 2.24
9 O 0.6961 0.9884 0.2442  1 Pd 2.06, 1 Ca 2.24
10 O 0.7942 0.5884 0.3582  2 Pd 2.31, 1 Pm 2.38, 2 Ca 2.51-2.53
11 O 0.2058 0.4116 0.6418  2 Pd 2.31, 1 Pm 2.38, 2 Ca 2.51-2.53
12 O 0.7077 0.0116 0.7558  1 Pd 2.06, 1 Ca 2.24
13 O 0.3039 0.0116 0.7558  1 Pd 2.06, 1 Ca 2.24
14 O 0.2058 0.4116 0.2698  2 Pd 2.31, 1 Pm 2.38, 2 Ca 2.51-2.53

## Properties
- E_form (uncorrected) (eV/atom) = -2.12
- uncorrected energy (eV per atom) = -6.662
- density of states at the Fermi level (states/eV/f.u.) = 2.5

---

Record 9
## TaRe2Hg (PBE-GGA)

Data for an optimized crystal structure of TaRe2Hg.

Cell: 4.1023 4.1023 3.9447 Å, 90.00 90.00 90.00°
Last column: nearest neighbours and their distance in Å.
Positions (direct):
1 Hg 0.0000 0.5000 0.5000  8 Re 2.85, 4 Ta 2.90
2 Re 0.0000 0.0000 0.0000  4 Ta 2.85, 4 Hg 2.85, 4 Re 2.90
3 Re 0.5000 0.5000 0.0000  4 Hg 2.85, 4 Ta 2.85, 4 Re 2.90
4 Ta 0.5000 0.0000 0.5000  8 Re 2.85, 4 Hg 2.90

## Properties
- uncorrected energy (eV per atom) = -8.844
- density of states at the Fermi level (states/eV/f.u.) = 2.5

---

Record 10
## TiInCu (PBE-GGA)

Data for an optimized crystal structure of TiInCu.

Cell: 7.3047 5.1448 3.0287 Å, 107.05 90.00 70.26°
Last column: nearest neighbours and their distance in Å.
Positions (direct):
1 Ti 0.5776 0.0293 0.7475  2 Cu 2.75, 5 Ti 2.76-3.03, 4 In 2.94-3.03
2 Ti 0.7140 0.3872 0.4252  2 Cu 2.75, 5 Ti 2.76-3.03, 4 In 2.94-3.02
3 Cu 0.0405 0.1059 0.7844  2 Cu 2.60, 2 Ti 2.75, 5 In 2.78-2.88
4 Cu 0.2511 0.3106 0.3879  2 Cu 2.60, 2 Ti 2.75, 5 In 2.78-2.88
5 In 0.3582 0.7085 0.0866  5 Cu 2.78-2.88, 4 Ti 2.94-3.03, 3 In 3.03-3.10
6 In 0.9334 0.7080 0.0860  5 Cu 2.78-2.88, 4 Ti 2.94-3.02, 3 In 3.03-3.10

## Properties
- uncorrected energy (eV per atom) = -4.953
- density of states at the Fermi level (states/eV/f.u.) = 1.8

---

Record 11
## Sc2CdAu8 (PBE-GGA)

Data for an optimized crystal structure of Sc2CdAu8.

Cell: 4.6862 6.8989 7.7485 Å, 116.43 107.52 90.00°
Last column: nearest neighbours and their distance in Å.
Positions (direct):
1 Sc 0.2021 0.7013 0.4026  10 Au 2.85-2.99
2 Sc 0.7979 0.2987 0.5974  10 Au 2.85-2.99
3 Cd 0.5000 0.0000 0.0000  4 Au 2.74
4 Au 0.6429 0.8500 0.2842  1 Cd 2.74, 3 Sc 2.85-2.87, 4 Au 2.87-3.00
5 Au 0.3571 0.5658 0.7158  1 Cd 2.74, 3 Sc 2.85-2.87, 4 Au 2.87-3.00
6 Au 0.1629 0.1626 0.3252  8 Au 2.93-3.10, 2 Sc 2.94, 2 Cd 3.16-3.17
7 Au 0.0000 0.2950 0.0000  7 Au 2.83-3.00, 2 Sc 2.99, 2 Cd 3.10
8 Au 0.8371 0.8374 0.6748  8 Au 2.93-3.10, 2 Sc 2.94, 2 Cd 3.16-3.17
9 Au 0.6429 0.4342 0.2842  1 Cd 2.74, 3 Sc 2.85-2.87, 4 Au 2.87-3.00
10 Au 0.3571 0.1500 0.7158  1 Cd 2.74, 3 Sc 2.85-2.87, 4 Au 2.87-3.00
11 Au 0.0000 0.7050 0.0000  7 Au 2.83-3.00, 2 Sc 2.99, 2 Cd 3.10

## Properties
- uncorrected energy (eV per atom) = -4.057
- density of states at the Fermi level (states/eV/f.u.) = 4.4

---

Record 12
## Ac2PrCl (PBE-GGA)

Data for an optimized crystal structure of Ac2PrCl.

Cell: 3.7622 3.7622 12.4351 Å, 81.30 81.30 60.00°
Last column: nearest neighbours and their distance in Å.
Positions (direct):
1 Pr 0.0000 0.0000 0.0000  2 Ac 3.69, 6 Pr 3.76
2 Ac 0.1003 0.1003 0.6990  3 Cl 3.26
3 Ac 0.8997 0.8997 0.3010  3 Cl 3.26
4 Cl 0.5000 0.5000 0.5000  6 Ac 3.26

## Properties
- E_form (uncorrected) (eV/atom) = -0.45
- uncorrected energy (eV per atom) = -4.156
- density of states at the Fermi level (states/eV/f.u.) = 5.7